This record from the Alexandria database describes Hf3MoRh2 after structural relaxation. The functional is PBE.

Results
Density of states at the Fermi level = 6.6 states/eV/cell
Crystal system = trigonal
Energy relative to the elements = -681 meV per atom

Cell lengths 4.6415, 4.6415, 11.3194 Å; angles 90.00, 90.00, 120.00 degrees
Fractional positions:
1 Hf 0.6667 0.3333 0.0853
2 Rh 0.3333 0.6667 0.1617
3 Hf 0.6667 0.3333 0.5832
4 Rh 0.6667 0.3333 0.8383
5 Hf 0.0000 0.0000 0.7479
6 Hf 0.3333 0.6667 0.4168
7 Hf 0.3333 0.6667 0.9147
8 Rh 0.0000 0.0000 0.5000
9 Rh 0.0000 0.0000 0.0000
10 Mo 0.6667 0.3333 0.3297
11 Mo 0.3333 0.6667 0.6703
12 Hf 0.0000 0.0000 0.2521

***

This record from the Alexandria database describes Hf5MoRh4 after structural relaxation. The functional is PBE.

Results
Density of states at the Fermi level = 5.6 states/eV/cell
Crystal system = tetragonal
Energy relative to the elements = -757 meV per atom

Cell lengths 3.3152, 3.3152, 16.0195 Å; angles 90.00, 90.00, 90.00 degrees
Fractional positions:
1 Hf 0.5000 0.5000 0.0995
2 Rh 0.0000 0.0000 0.2071
3 Hf 0.5000 0.5000 0.6994
4 Hf 0.5000 0.5000 0.5000
5 Rh 0.0000 0.0000 0.7929
6 Hf 0.5000 0.5000 0.9005
7 Rh 0.0000 0.0000 0.5985
8 Mo 0.0000 0.0000 0.0000
9 Hf 0.5000 0.5000 0.3006
10 Rh 0.0000 0.0000 0.4015

***

This record from the Alexandria database describes Hf4MoRh after structural relaxation. The functional is PBE.

Results
Density of states at the Fermi level = 8.5 states/eV/cell
Crystal system = tetragonal
Energy relative to the elements = -306 meV per atom

Cell lengths 3.3408, 3.3408, 10.3306 Å; angles 90.00, 90.00, 90.00 degrees
Fractional positions:
1 Mo 0.0000 0.0000 0.0000
2 Rh 0.5000 0.5000 0.5000
3 Hf 0.4999 0.4999 0.8466
4 Hf 0.5001 0.5001 0.1534
5 Hf 0.9999 0.9999 0.6526
6 Hf 0.0001 0.0001 0.3474

***

This record from the Alexandria database describes HfScMoRh after structural relaxation. The functional is PBE.

Results
Density of states at the Fermi level = 6.7 states/eV/cell
Crystal system = cubic
Energy relative to the elements = -377 meV per atom

Cell lengths 4.6285, 4.6285, 4.6285 Å; angles 60.00, 60.00, 60.00 degrees
Fractional positions:
1 Hf 0.5000 0.5000 0.5000
2 Sc 0.0000 0.0000 0.0000
3 Rh 0.2500 0.2500 0.2500
4 Mo 0.7500 0.7500 0.7500

***

The lowest energy relative to the elements belongs to which entry? Hf5MoRh4